The following is a GGA-PBE calculation of a relaxed structure of Ba3Fe3N5, from Alexandria. Values from VASP.

```
&SYSTEM
  ibrav = 0, nat = 22, ntyp = 3
/
ATOMIC_SPECIES
Ba 137.33 Ba.upf
Fe 55.84 Fe.upf
N 14.01 N.upf
ATOMIC_POSITIONS angstrom
Ba -0.546 1.670 3.117
Ba -0.709 -0.347 5.969
Ba -0.505 6.797 0.929
Ba 2.350 -1.945 7.118
Ba 2.554 5.199 2.078
Ba 2.391 3.181 4.930
Fe -0.163 3.497 0.768
Fe -0.321 5.046 3.895
Fe -0.599 2.760 6.613
Fe 2.444 2.092 1.434
Fe 2.165 -0.194 4.152
Fe 2.008 1.355 7.279
N -2.036 1.829 7.316
N 0.826 1.896 0.611
N 0.602 -1.070 3.568
N -0.014 4.279 2.352
N -0.733 3.822 5.193
N 2.578 1.030 2.854
N 1.859 0.573 5.695
N 1.243 5.921 4.480
N 1.019 2.956 7.436
N 3.881 3.023 0.731
CELL_PARAMETERS angstrom
5.903 0.000 0.000
-1.945 7.650 0.000
-2.113 -2.799 8.047
```

Computed properties:
D(E_F)   0.49 states/eV per atom
Formation energy without anion corrections   -4.4 eV per formula unit
Symmetry   P-1
E   -0.258 Ha/atom
Volume   16.5 Å³/atom
Crystal system   triclinic